First-principles (GGA-PBEsol) data for PtC after structural relaxation, as listed in the Alexandria database.

## Properties
As for the density of states at the Fermi level: 2.48 states/eV/cell. The calculation puts the energy above the most stable polymorph in this dataset at 337.5 meV/atom. For the energy relative to the elements, the calculation gives 2.438 eV/f.u.

```
data_PtC
_symmetry_space_group_name_H-M 'P 63/m m c'
_symmetry_Int_Tables_number 194
_symmetry_space_group_name_Hall '-P 6c 2c'
_cell_length_a 3.1238
_cell_length_b 3.1238
_cell_length_c 5.1603
_cell_angle_alpha 90.00
_cell_angle_beta 90.00
_cell_angle_gamma 120.00
loop_
_atom_site_label
_atom_site_type_symbol
_atom_site_fract_x
_atom_site_fract_y
_atom_site_fract_z
Pt1 Pt 0.0000 0.0000 0.0000
C1 C 0.3333 0.6667 0.2500
```


First-principles (GGA-PBEsol) data for Pt5C3 after structural relaxation, as listed in the Alexandria database.

## Properties
As for the density of states at the Fermi level: 9.49 states/eV/cell. For the energy relative to the elements, the calculation gives 9.597 eV/f.u.

```
data_Pt5C3
_symmetry_space_group_name_H-M 'C m m m'
_symmetry_Int_Tables_number 65
_symmetry_space_group_name_Hall '-C 2 2'
_cell_length_a 7.464
_cell_length_b 9.703
_cell_length_c 2.790
_cell_angle_alpha 90.00
_cell_angle_beta 90.00
_cell_angle_gamma 90.00
loop_
_atom_site_label
_atom_site_type_symbol
_atom_site_fract_x
_atom_site_fract_y
_atom_site_fract_z
Pt1 Pt 0.000 0.000 0.000
Pt2 Pt 0.184 0.500 0.500
Pt3 Pt 0.250 0.250 0.000
C1 C 0.000 0.182 0.500
C2 C 0.000 0.500 0.000
```


First-principles (GGA-PBEsol) data for Pt3C after structural relaxation, as listed in the Alexandria database.

## Properties
As for the density of states at the Fermi level: 3.06 states/eV/cell. For the energy relative to the elements, the calculation gives 2.142 eV/f.u.

```
data_Pt3C
_symmetry_space_group_name_H-M 'I m m 2'
_symmetry_Int_Tables_number 44
_cell_length_a 2.738
_cell_length_b 8.034
_cell_length_c 4.790
_cell_angle_alpha 90.00
_cell_angle_beta 90.00
_cell_angle_gamma 90.00
loop_
_symmetry_equiv_pos_as_xyz
'x,y,z'
'-x,-y,z'
'-x,y,z'
'x,-y,z'
'x+1/2,y+1/2,z+1/2'
'-x+1/2,-y+1/2,z+1/2'
'-x+1/2,y+1/2,z+1/2'
'x+1/2,-y+1/2,z+1/2'
loop_
_atom_site_label
_atom_site_type_symbol
_atom_site_fract_x
_atom_site_fract_y
_atom_site_fract_z
Pt1 Pt 0.000 0.000 0.000
Pt2 Pt 0.000 0.181 0.498
C1 C 0.000 0.500 0.850
```